The following is a DFT calculation (PBE-GGA) of crystalline Ce2BiPt9 at its relaxed geometry.

abc: 5.450 5.450 9.478
angles: 73.29 73.29 60.00
Site moments in Bohr magnetons follow the coordinates.
Fractional coordinates of all 12 atoms:
Ce  0.866  0.866  0.403  0.35
Ce  0.134  0.134  0.597  0.35
Bi  0.000  0.000  0.000  -0.01
Pt  0.668  0.668  0.997  -0.02
Pt  0.332  0.332  0.003  -0.02
Pt  0.500  0.500  0.500  -0.01
Pt  0.412  0.412  0.259  -0.02
Pt  0.918  0.412  0.259  -0.02
Pt  0.412  0.918  0.259  -0.02
Pt  0.588  0.588  0.741  -0.02
Pt  0.588  0.082  0.741  -0.02
Pt  0.082  0.588  0.741  -0.02

## Properties
**Energy of formation from the pure elements**: -746 kJ/mol of formula units
**Magnetization**: 0.596 μB/cell
**Relative energy among the computed polymorphs**: 14 meV/atom
**Space group**: R-3m

The following is a DFT calculation (PBE-GGA) of crystalline CeBi2Pt2 at its relaxed geometry.

abc: 4.563 5.175 11.065
angles: 78.30 90.00 90.00
Site moments in Bohr magnetons follow the coordinates.
Fractional coordinates of all 10 atoms:
Ce  0.250  0.613  0.204  0.61
Ce  0.750  0.387  0.796  0.61
Bi  0.250  0.892  0.857  -0.01
Bi  0.750  0.108  0.143  -0.01
Bi  0.250  0.236  0.522  0.00
Bi  0.750  0.764  0.478  0.00
Pt  0.250  0.660  0.646  -0.01
Pt  0.750  0.340  0.354  -0.01
Pt  0.250  0.327  0.018  -0.02
Pt  0.750  0.673  0.982  -0.02

## Properties
**Energy of formation from the pure elements**: -285 kJ/mol of formula units
**Magnetization**: 1.252 μB/cell
**Space group**: P2_1/m

The following is a DFT calculation (PBE-GGA) of crystalline Ce2BiPt9 at its relaxed geometry.

abc: 4.172 4.172 12.531
angles: 90.00 90.00 90.00
Site moments in Bohr magnetons follow the coordinates.
Fractional coordinates of all 12 atoms:
Ce  0.000  0.000  0.334  0.24
Ce  0.000  0.000  0.666  0.24
Bi  0.000  0.000  0.000  0.01
Pt  0.500  0.500  0.000  0.01
Pt  0.500  0.500  0.333  -0.01
Pt  0.500  0.500  0.667  -0.01
Pt  0.500  0.000  0.171  0.00
Pt  0.500  0.000  0.500  -0.01
Pt  0.500  0.000  0.829  0.00
Pt  0.000  0.500  0.171  0.00
Pt  0.000  0.500  0.500  -0.01
Pt  0.000  0.500  0.829  0.00

## Properties
**Energy of formation from the pure elements**: -762 kJ/mol of formula units
**Magnetization**: 0.477 μB/cell
**Relative energy among the computed polymorphs**: 0 meV/atom
**Space group**: P4/mmm

The following is a DFT calculation (PBE-GGA) of crystalline CeBiPt10 at its relaxed geometry.

abc: 4.480 5.396 9.302
angles: 90.00 90.00 90.00
Site moments in Bohr magnetons follow the coordinates.
Fractional coordinates of all 12 atoms:
Ce  0.000  0.000  0.000  0.36
Bi  0.000  0.500  0.500  0.01
Pt  0.000  0.000  0.334  -0.01
Pt  0.000  0.500  0.831  -0.02
Pt  0.000  0.500  0.169  -0.02
Pt  0.000  0.000  0.666  -0.01
Pt  0.500  0.000  0.500  -0.01
Pt  0.500  0.500  0.000  -0.01
Pt  0.500  0.247  0.246  -0.01
Pt  0.500  0.753  0.754  -0.01
Pt  0.500  0.753  0.246  -0.01
Pt  0.500  0.247  0.754  -0.01

## Properties
**Energy of formation from the pure elements**: -440 kJ/mol of formula units
**Magnetization**: 0.286 μB/cell
**Space group**: Pmmm

The following is a DFT calculation (PBE-GGA) of crystalline Ce5Bi2Pt at its relaxed geometry.

abc: 5.730 8.765 13.356
angles: 90.00 90.00 109.08
Site moments in Bohr magnetons follow the coordinates.
Fractional coordinates of all 16 atoms:
Ce  0.950  0.900  0.907  1.11
Ce  0.950  0.900  0.593  1.11
Ce  0.281  0.561  0.423  1.05
Ce  0.281  0.561  0.077  1.05
Ce  0.687  0.373  0.250  0.85
Ce  0.313  0.627  0.750  0.85
Ce  0.719  0.439  0.577  1.05
Ce  0.719  0.439  0.923  1.05
Ce  0.050  0.100  0.093  1.11
Ce  0.050  0.100  0.407  1.11
Bi  0.857  0.713  0.385  -0.05
Bi  0.857  0.713  0.115  -0.05
Bi  0.143  0.287  0.615  -0.05
Bi  0.143  0.287  0.885  -0.05
Pt  0.832  0.663  0.750  -0.04
Pt  0.168  0.337  0.250  -0.04

## Properties
**Energy of formation from the pure elements**: -157 kJ/mol of formula units
**Magnetization**: 13.932 μB/cell
**Relative energy among the computed polymorphs**: 454 meV/atom
**Space group**: Cmcm

The following is a DFT calculation (PBE-GGA) of crystalline CeBiPt at its relaxed geometry.

abc: 4.230 4.613 4.613
angles: 120.00 90.00 90.00
Site moments in Bohr magnetons follow the coordinates.
Fractional coordinates of all 3 atoms:
Ce  0.624  0.667  0.333  0.66
Bi  0.102  0.000  0.000  -0.02
Pt  0.274  0.333  0.667  -0.02

## Properties
**Energy of formation from the pure elements**: -229 kJ/mol of formula units
**Magnetization**: 0.718 μB/cell
**Space group**: P3m1

The following is a DFT calculation (PBE-GGA) of crystalline Ce3BiPt at its relaxed geometry.

abc: 4.651 8.376 9.349
angles: 113.82 119.84 89.99
Site moments in Bohr magnetons follow the coordinates.
Fractional coordinates of all 10 atoms:
Ce  0.409  0.368  0.659  0.56
Ce  0.775  0.226  0.025  0.78
Ce  0.129  0.972  0.379  0.38
Ce  0.591  0.632  0.341  0.56
Ce  0.871  0.028  0.621  0.38
Ce  0.225  0.774  0.975  0.78
Bi  0.436  0.781  0.686  -0.03
Bi  0.564  0.219  0.314  -0.03
Pt  0.162  0.386  0.912  -0.03
Pt  0.838  0.614  0.088  -0.03

## Properties
**Energy of formation from the pure elements**: -337 kJ/mol of formula units
**Magnetization**: 4.202 μB/cell
**Space group**: P2_1/m

The following is a DFT calculation (PBE-GGA) of crystalline CeBiPtRh at its relaxed geometry.

abc: 4.935 4.935 4.935
angles: 60.00 60.00 60.00
Site moments in Bohr magnetons follow the coordinates.
Fractional coordinates of all 4 atoms:
Ce  0.250  0.250  0.250  0.46
Rh  0.000  0.000  0.000  -0.02
Bi  0.750  0.750  0.750  0.02
Pt  0.500  0.500  0.500  0.01

## Properties
**Energy of formation from the pure elements**: -219 kJ/mol of formula units
**Magnetization**: 0.530 μB/cell
**Space group**: F-43m